CdRuI2 | PBE-GGA | optimized geometry

Structure (POSCAR):
```
CdRuI2
1.0
0.000 3.721 3.721
3.721 0.000 3.721
3.721 3.721 0.000
I Ru Cd
2 1 1
direct
0.250 0.250 0.250 I
0.750 0.750 0.750 I
0.000 0.000 0.000 Ru
0.500 0.500 0.500 Cd
```

Mass density (g/cm3): 7.5
SG: Fm-3m
D(E_F) (states/eV/f.u.): 2.33
E above lowest polymorph (eV per atom): 0.309
Uncorrected formation energy (meV/atom): 735

Sc5Pt2Rh | PBE-GGA | optimized geometry

Structure (POSCAR):
```
Sc5Pt2Rh
1.0
-0.791 4.045 -1.887
-6.001 -0.348 1.768
2.512 4.921 9.496
Sc Pt Rh
10 4 2
direct
0.000 0.000 0.500 Sc
0.000 0.500 0.000 Sc
0.000 0.849 0.217 Sc
0.000 0.151 0.783 Sc
0.000 0.651 0.717 Sc
0.000 0.349 0.283 Sc
0.500 0.676 0.400 Sc
0.500 0.324 0.600 Sc
0.500 0.824 0.900 Sc
0.500 0.176 0.100 Sc
0.500 0.590 0.150 Pt
0.500 0.410 0.850 Pt
0.500 0.910 0.650 Pt
0.500 0.090 0.350 Pt
0.000 0.500 0.500 Rh
0.000 0.000 0.000 Rh
```

Mass density (g/cm3): 7.6
SG: Pbam
D(E_F) (states/eV/f.u.): 5.94
Formation enthalpy at 0 K (eV per atom): -0.9341

BeNiRu2 | PBE-GGA | optimized geometry

Structure (POSCAR):
```
BeNiRu2
1.0
2.834 0.000 0.000
0.000 4.271 0.000
0.000 0.000 4.077
Ru Be Ni
2 1 1
direct
0.000 0.000 0.000 Ru
0.500 0.500 0.000 Ru
0.500 0.000 0.500 Be
0.000 0.500 0.500 Ni
```

Mass density (g/cm3): 9.1
SG: Pmmm
D(E_F) (states/eV/f.u.): 5.07
Formation enthalpy at 0 K (eV per atom): 0.1871

MgTa4Au | PBE-GGA | optimized geometry

Structure (POSCAR):
```
MgTa4Au
1.0
0.000 3.881 3.881
3.881 0.000 3.881
3.881 3.881 0.000
Mg Ta Au
1 4 1
direct
0.000 0.000 0.000 Mg
0.880 0.373 0.373 Ta
0.373 0.373 0.880 Ta
0.373 0.880 0.373 Ta
0.373 0.373 0.373 Ta
0.750 0.750 0.750 Au
```

Mass density (g/cm3): 13.4
SG: F-43m
D(E_F) (states/eV/f.u.): 5.75
Formation enthalpy at 0 K (eV per atom): 0.3730

Question: D(E_F) of number 4 (MgTa4Au)?
Answer: 5.75 states/eV/f.u.